Record 1
! Na2Sn2Pb (PBE, relaxed); values from VASP
! Mass density = 5.83 g cm⁻³
! Crystal system = tetragonal
! Formation enthalpy at 0 K = -101 meV per atom
! Total magnetic moment = 0.00 μB per formula unit
! Density of states at the Fermi level = 3.2 states/eV/cell
! Calculated volume = 279 Å³ per cell
! Raw total energy = -29.7 eV/cell
! SG = P4/mbm, No. 127
&SYSTEM
  ibrav = 0, nat = 10, ntyp = 3
/
ATOMIC_SPECIES
Na 22.99 Na.upf
Sn 118.71 Sn.upf
Pb 207.20 Pb.upf
ATOMIC_POSITIONS crystal
Na 0.181 0.319 0.000
Na 0.319 0.819 0.000
Na 0.681 0.181 0.000
Na 0.819 0.681 0.000
Sn 0.118 0.618 0.500
Sn 0.382 0.118 0.500
Sn 0.618 0.882 0.500
Sn 0.882 0.382 0.500
Pb 0.000 0.000 0.500
Pb 0.500 0.500 0.500
CELL_PARAMETERS angstrom
8.907 0.000 0.000
0.000 8.907 0.000
0.000 0.000 3.520

Record 2
! Sr2TaW (PBE, relaxed); values from VASP
! Mass density = 8.03 g cm⁻³
! Crystal system = cubic
! Formation enthalpy at 0 K = 1722 meV per atom
! Total magnetic moment = 0.26 μB per formula unit
! Density of states at the Fermi level = 4.8 states/eV/cell
! Calculated volume = 112 Å³ per cell
! Raw total energy = -21.3 eV/cell
! SG = Fm-3m, No. 225
&SYSTEM
  ibrav = 0, nat = 4, ntyp = 3
/
ATOMIC_SPECIES
Sr 87.62 Sr.upf
Ta 180.95 Ta.upf
W 183.84 W.upf
ATOMIC_POSITIONS crystal
Sr 0.250 0.250 0.250
Sr 0.750 0.750 0.750
Ta 0.000 0.000 0.000
W 0.500 0.500 0.500
CELL_PARAMETERS angstrom
0.000 3.823 3.823
3.823 0.000 3.823
3.823 3.823 0.000

Record 3
! La2HfScP4 (PBE, relaxed); values from VASP
! Mass density = 5.79 g cm⁻³
! Crystal system = monoclinic
! Formation enthalpy at 0 K = -1468 meV per atom
! Total magnetic moment = 0.00 μB per formula unit
! Density of states at the Fermi level = 1.5 states/eV/cell
! Calculated volume = 179 Å³ per cell
! Raw total energy = -59.5 eV/cell
! SG = P2/m, No. 10
&SYSTEM
  ibrav = 0, nat = 8, ntyp = 4
/
ATOMIC_SPECIES
La 138.91 La.upf
Hf 178.49 Hf.upf
Sc 44.96 Sc.upf
P 30.97 P.upf
ATOMIC_POSITIONS crystal
La 0.000 0.000 0.000
La 0.500 0.500 0.000
Hf 0.000 0.500 0.500
Sc 0.500 0.000 0.500
P 0.236 0.000 0.717
P 0.257 0.500 0.282
P 0.743 0.500 0.718
P 0.764 0.000 0.283
CELL_PARAMETERS angstrom
6.877 0.000 0.000
0.000 3.969 0.000
-2.284 0.000 6.565

Record 4
! Zr2FeNi9 (PBE, relaxed); values from VASP
! Mass density = 8.44 g cm⁻³
! Crystal system = tetragonal
! Formation enthalpy at 0 K = -298 meV per atom
! Total magnetic moment = 4.96 μB per formula unit
! Density of states at the Fermi level = 4.6 states/eV/cell
! Calculated volume = 151 Å³ per cell
! Raw total energy = -81.2 eV/cell
! SG = P4/mmm, No. 123
&SYSTEM
  ibrav = 0, nat = 12, ntyp = 3
/
ATOMIC_SPECIES
Zr 91.22 Zr.upf
Fe 55.84 Fe.upf
Ni 58.69 Ni.upf
ATOMIC_POSITIONS crystal
Zr 0.000 0.000 0.174
Zr 0.000 0.000 0.826
Fe 0.000 0.000 0.500
Ni 0.000 0.500 0.000
Ni 0.000 0.500 0.347
Ni 0.000 0.500 0.653
Ni 0.500 0.000 0.000
Ni 0.500 0.000 0.347
Ni 0.500 0.000 0.653
Ni 0.500 0.500 0.171
Ni 0.500 0.500 0.500
Ni 0.500 0.500 0.829
CELL_PARAMETERS angstrom
3.705 0.000 0.000
0.000 3.705 0.000
0.000 0.000 10.990

Record 5
! Ho8AgRu5 (PBE, relaxed); values from VASP
! Mass density = 10.21 g cm⁻³
! Crystal system = tetragonal
! Formation enthalpy at 0 K = -250 meV per atom
! Total magnetic moment = 0.00 μB per formula unit
! Density of states at the Fermi level = 7.0 states/eV/cell
! Calculated volume = 314 Å³ per cell
! Raw total energy = -89.4 eV/cell
! SG = I-4, No. 82
&SYSTEM
  ibrav = 0, nat = 14, ntyp = 3
/
ATOMIC_SPECIES
Ho 164.93 Ho.upf
Ag 107.87 Ag.upf
Ru 101.07 Ru.upf
ATOMIC_POSITIONS crystal
Ho 0.021 0.128 0.762
Ho 0.265 0.506 0.616
Ho 0.351 0.735 0.241
Ho 0.366 0.259 0.238
Ho 0.494 0.110 0.759
Ho 0.741 0.979 0.107
Ho 0.872 0.634 0.893
Ho 0.890 0.649 0.384
Ag 0.750 0.250 0.500
Ru 0.139 0.040 0.401
Ru 0.262 0.861 0.901
Ru 0.500 0.500 0.000
Ru 0.639 0.738 0.599
Ru 0.960 0.361 0.099
CELL_PARAMETERS angstrom
-4.309 4.309 4.232
4.309 -4.309 4.232
4.309 4.309 -4.232

Record 6
! Th3C (PBE, relaxed); values from VASP
! Mass density = 10.87 g cm⁻³
! Crystal system = orthorhombic
! Formation enthalpy at 0 K = -64 meV per atom
! Total magnetic moment = 0.00 μB per formula unit
! Density of states at the Fermi level = 15.7 states/eV/cell
! Calculated volume = 433 Å³ per cell
! Raw total energy = -127.0 eV/cell
! SG = Pnma, No. 62
&SYSTEM
  ibrav = 0, nat = 16, ntyp = 2
/
ATOMIC_SPECIES
Th 232.04 Th.upf
C 12.01 C.upf
ATOMIC_POSITIONS crystal
Th 0.026 0.250 0.173
Th 0.199 0.072 0.680
Th 0.199 0.428 0.680
Th 0.301 0.572 0.180
Th 0.301 0.928 0.180
Th 0.474 0.750 0.673
Th 0.526 0.250 0.327
Th 0.699 0.072 0.820
Th 0.699 0.428 0.820
Th 0.801 0.572 0.320
Th 0.801 0.928 0.320
Th 0.974 0.750 0.827
C 0.000 0.000 0.000
C 0.000 0.500 0.000
C 0.500 0.000 0.500
C 0.500 0.500 0.500
CELL_PARAMETERS angstrom
7.024 0.000 0.000
0.000 9.813 0.000
0.000 0.000 6.280

Record 7
! DyPaZnPd (PBE, relaxed); values from VASP
! Mass density = 10.64 g cm⁻³
! Crystal system = cubic
! Formation enthalpy at 0 K = -255 meV per atom
! Total magnetic moment = 0.42 μB per formula unit
! Density of states at the Fermi level = 5.4 states/eV/cell
! Calculated volume = 88 Å³ per cell
! Raw total energy = -21.6 eV/cell
! SG = F-43m, No. 216
&SYSTEM
  ibrav = 0, nat = 4, ntyp = 4
/
ATOMIC_SPECIES
Dy 162.50 Dy.upf
Pa 231.04 Pa.upf
Zn 65.41 Zn.upf
Pd 106.42 Pd.upf
ATOMIC_POSITIONS crystal
Dy 0.000 0.000 0.000
Pa 0.500 0.500 0.500
Zn 0.750 0.750 0.750
Pd 0.250 0.250 0.250
CELL_PARAMETERS angstrom
0.000 3.534 3.534
3.534 0.000 3.534
3.534 3.534 0.000

Record 8
! AsPtSeN2 (PBE, relaxed); values from VASP
! Mass density = 6.51 g cm⁻³
! Crystal system = tetragonal
! Total magnetic moment = 0.63 μB per formula unit
! Density of states at the Fermi level = 4.3 states/eV/cell
! Uncorrected formation energy = 1313 meV per atom
! Calculated volume = 96 Å³ per cell
! Raw total energy = -24.3 eV/cell
! SG = P4/mmm, No. 123
&SYSTEM
  ibrav = 0, nat = 5, ntyp = 4
/
ATOMIC_SPECIES
As 74.92 As.upf
Pt 195.08 Pt.upf
Se 78.96 Se.upf
N 14.01 N.upf
ATOMIC_POSITIONS crystal
As 0.000 0.000 0.000
Pt 0.500 0.500 0.500
Se 0.000 0.000 0.500
N 0.000 0.500 0.000
N 0.500 0.000 0.000
CELL_PARAMETERS angstrom
3.608 0.000 0.000
0.000 3.608 0.000
0.000 0.000 7.392

Record 9
! Tl2CdCl (PBE, relaxed); values from VASP
! Mass density = 7.85 g cm⁻³
! Crystal system = cubic
! Total magnetic moment = 0.01 μB per formula unit
! Density of states at the Fermi level = 4.1 states/eV/cell
! Uncorrected formation energy = -192 meV per atom
! Calculated volume = 118 Å³ per cell
! Raw total energy = -8.3 eV/cell
! SG = F-43m, No. 216
&SYSTEM
  ibrav = 0, nat = 4, ntyp = 3
/
ATOMIC_SPECIES
Tl 204.38 Tl.upf
Cd 112.41 Cd.upf
Cl 35.45 Cl.upf
ATOMIC_POSITIONS crystal
Tl 0.000 0.000 0.000
Tl 0.250 0.250 0.250
Cd 0.500 0.500 0.500
Cl 0.750 0.750 0.750
CELL_PARAMETERS angstrom
0.000 3.891 3.891
3.891 0.000 3.891
3.891 3.891 0.000

Record 10
! Pm3Zn2In4 (PBE, relaxed); values from VASP
! Mass density = 7.55 g cm⁻³
! Crystal system = monoclinic
! Formation enthalpy at 0 K = -455 meV per atom
! Total magnetic moment = 0.00 μB per formula unit
! Density of states at the Fermi level = 5.7 states/eV/cell
! Calculated volume = 225 Å³ per cell
! Raw total energy = -31.8 eV/cell
! SG = C2/m, No. 12
&SYSTEM
  ibrav = 0, nat = 9, ntyp = 3
/
ATOMIC_SPECIES
Pm 145.00 Pm.upf
Zn 65.41 Zn.upf
In 114.82 In.upf
ATOMIC_POSITIONS crystal
Pm 0.000 0.000 0.000
Pm 0.334 0.334 0.338
Pm 0.666 0.666 0.662
Zn 0.386 0.386 0.715
Zn 0.614 0.614 0.285
In 0.056 0.056 0.381
In 0.277 0.277 0.931
In 0.723 0.723 0.069
In 0.944 0.944 0.619
CELL_PARAMETERS angstrom
5.611 -2.402 0.000
5.611 2.402 0.000
-3.745 0.000 8.362

Record 11
! CaTlAg2 (PBE, relaxed); values from VASP
! Mass density = 7.29 g cm⁻³
! Crystal system = tetragonal
! Formation enthalpy at 0 K = 47 meV per atom
! Total magnetic moment = 0.00 μB per formula unit
! Density of states at the Fermi level = 3.5 states/eV/cell
! Calculated volume = 210 Å³ per cell
! Raw total energy = -19.8 eV/cell
! SG = I-42d, No. 122
&SYSTEM
  ibrav = 0, nat = 8, ntyp = 3
/
ATOMIC_SPECIES
Ca 40.08 Ca.upf
Tl 204.38 Tl.upf
Ag 107.87 Ag.upf
ATOMIC_POSITIONS crystal
Ca 0.000 0.000 0.000
Ca 0.750 0.250 0.500
Tl 0.250 0.750 0.500
Tl 0.500 0.500 0.000
Ag 0.166 0.625 0.041
Ag 0.375 0.416 0.541
Ag 0.584 0.125 0.959
Ag 0.875 0.834 0.459
CELL_PARAMETERS angstrom
-2.258 2.258 10.274
2.258 -2.258 10.274
2.258 2.258 -10.274

Record 12
! LiTl2Pd6 (PBE, relaxed); values from VASP
! Mass density = 10.91 g cm⁻³
! Crystal system = monoclinic
! Formation enthalpy at 0 K = -153 meV per atom
! Total magnetic moment = 0.00 μB per formula unit
! Density of states at the Fermi level = 5.8 states/eV/cell
! Calculated volume = 160 Å³ per cell
! Raw total energy = -39.2 eV/cell
! SG = C2/m, No. 12
&SYSTEM
  ibrav = 0, nat = 9, ntyp = 3
/
ATOMIC_SPECIES
Li 6.94 Li.upf
Tl 204.38 Tl.upf
Pd 106.42 Pd.upf
ATOMIC_POSITIONS crystal
Li 0.000 0.000 0.000
Tl 0.331 0.331 0.201
Tl 0.669 0.669 0.799
Pd 0.147 0.652 0.630
Pd 0.181 0.181 0.766
Pd 0.348 0.853 0.370
Pd 0.652 0.147 0.630
Pd 0.819 0.819 0.234
Pd 0.853 0.348 0.370
CELL_PARAMETERS angstrom
4.620 -2.798 0.000
4.620 2.798 0.000
-1.654 0.000 6.206